Er4Tm6Mg | GGA-PBE | optimized geometry

Values from the calculation:
V = 344 Å³ per cell
Final energy = -3.958 eV/atom
DFT formation energy = 0.28 eV/atom

a = 6.4074 Å, b = 6.4074 Å, c = 9.5211 Å
α = 109.66°, β = 109.66°, γ = 90.00°
Last column: nearest neighbours and their distance in Å.
Element x y z (fractional)
1 Er 0.9590 0.9590 0.2704  1 Er 3.19, 7 Tm 3.27-3.42
2 Er 0.0410 0.6886 0.7296  1 Er 3.19, 7 Tm 3.27-3.42
3 Er 0.3114 0.3114 0.2704  1 Er 3.19, 7 Tm 3.27-3.42
4 Er 0.6886 0.0410 0.7296  1 Er 3.19, 7 Tm 3.27-3.42
5 Tm 0.4848 0.8511 0.3359  1 Mg 3.27, 5 Er 3.30-3.42, 1 Tm 3.32
6 Tm 0.8511 0.4848 0.3359  1 Mg 3.27, 5 Er 3.30-3.42, 1 Tm 3.32
7 Tm 0.0000 0.5000 0.0000  2 Mg 3.20, 4 Er 3.27
8 Tm 0.1489 0.1489 0.6641  1 Mg 3.27, 5 Er 3.30-3.42, 1 Tm 3.32
9 Tm 0.5152 0.5152 0.6641  1 Mg 3.27, 5 Er 3.30-3.42, 1 Tm 3.32
10 Tm 0.5000 0.0000 0.0000  2 Mg 3.20, 4 Er 3.27
11 Mg 0.5000 0.5000 0.0000  8 Tm 3.20-3.27

---

ErTm6Mg | GGA-PBE | optimized geometry

Values from the calculation:
V = 241 Å³ per cell
Final energy = -3.976 eV/atom
Energy above the most stable polymorph in this dataset = 109 meV/atom
DFT formation energy = 0.15 eV/atom

a = 8.4060 Å, b = 9.2653 Å, c = 6.2548 Å
α = 42.17°, β = 47.76°, γ = 56.46°
Last column: nearest neighbours and their distance in Å.
Element x y z (fractional)
1 Tm 0.0454 0.5014 0.2076  4 Tm 3.18-3.38, 1 Er 3.39, 1 Mg 3.40
2 Tm 0.7545 0.9546 0.7894  4 Tm 3.17-3.38, 1 Er 3.39, 1 Mg 3.41
3 Tm 0.2455 0.0454 0.2106  4 Tm 3.17-3.38, 1 Er 3.39, 1 Mg 3.41
4 Tm 0.4983 0.2453 0.3020  4 Tm 3.17-3.38, 1 Er 3.39, 1 Mg 3.40
5 Tm 0.9546 0.4986 0.7924  4 Tm 3.18-3.38, 1 Er 3.39, 1 Mg 3.40
6 Tm 0.5017 0.7547 0.6980  4 Tm 3.17-3.38, 1 Er 3.39, 1 Mg 3.40
7 Mg 0.0000 0.0000 0.0000  12 Tm 3.40-3.61
8 Er 0.5000 0.5000 0.5000  12 Tm 3.39-3.62

---

Er5Tm2Mg | GGA-PBE | optimized geometry

Values from the calculation:
V = 237 Å³ per cell
Final energy = -4.169 eV/atom
Energy above the most stable polymorph in this dataset = 0 meV/atom
DFT formation energy = 0.00 eV/atom

a = 8.2375 Å, b = 8.2377 Å, c = 7.0172 Å
α = 129.72°, β = 129.72°, γ = 84.91°
Last column: nearest neighbours and their distance in Å.
Element x y z (fractional)
1 Er 0.1808 0.6803 0.9443  2 Mg 3.44, 6 Er 3.45-3.51, 4 Tm 3.50-3.52
2 Er 0.7683 0.7683 0.4441  8 Er 3.42-3.60, 2 Tm 3.45, 2 Mg 3.51
3 Er 0.7710 0.7710 0.9605  6 Er 3.39-3.62, 4 Tm 3.42-3.46, 2 Mg 3.49-3.53
4 Er 0.2544 0.2544 0.9280  6 Er 3.39-3.62, 4 Tm 3.42-3.46, 2 Mg 3.49-3.53
5 Er 0.6803 0.1808 0.9443  2 Mg 3.44, 6 Er 3.45-3.51, 4 Tm 3.50-3.52
6 Mg 0.2633 0.2633 0.4439  2 Tm 3.39, 10 Er 3.44-3.53
7 Tm 0.1849 0.6740 0.4444  1 Mg 3.39, 9 Er 3.42-3.52, 2 Tm 3.51
8 Tm 0.6740 0.1849 0.4444  1 Mg 3.39, 9 Er 3.42-3.52, 2 Tm 3.51

---

Er4TmMg | GGA-PBE | optimized geometry

Values from the calculation:
V = 176 Å³ per cell
Final energy = -4.061 eV/atom
Energy above the most stable polymorph in this dataset = 0 meV/atom
DFT formation energy = -0.01 eV/atom

a = 3.5065 Å, b = 3.5065 Å, c = 14.3086 Å
α = 90.00°, β = 90.00°, γ = 90.00°
Last column: nearest neighbours and their distance in Å.
Element x y z (fractional)
1 Tm 0.0000 0.0000 0.0000  8 Er 3.50, 4 Tm 3.51
2 Er 0.0000 0.0000 0.6565  4 Mg 3.34, 8 Er 3.48-3.51
3 Er 0.0000 0.0000 0.3435  4 Mg 3.34, 8 Er 3.48-3.51
4 Er 0.5000 0.5000 0.1731  8 Er 3.48-3.51, 4 Tm 3.50
5 Er 0.5000 0.5000 0.8269  8 Er 3.48-3.51, 4 Tm 3.50
6 Mg 0.5000 0.5000 0.5000  8 Er 3.34, 4 Mg 3.51

---

Er4Tm5Mg | GGA-PBE | optimized geometry

Values from the calculation:
V = 296 Å³ per cell
Final energy = -4.213 eV/atom
DFT formation energy = 0.01 eV/atom

a = 3.4951 Å, b = 3.4951 Å, c = 24.2142 Å
α = 90.00°, β = 90.00°, γ = 90.00°
Last column: nearest neighbours and their distance in Å.
Element x y z (fractional)
1 Mg 0.0000 0.0000 0.0000  8 Tm 3.34, 4 Mg 3.50
2 Tm 0.5000 0.5000 0.5000  4 Tm 3.50, 8 Er 3.50
3 Tm 0.5000 0.5000 0.9075  4 Mg 3.34, 4 Er 3.46, 4 Tm 3.50
4 Tm 0.5000 0.5000 0.2951  4 Tm 3.50, 8 Er 3.50
5 Tm 0.5000 0.5000 0.7049  4 Tm 3.50, 8 Er 3.50
6 Tm 0.5000 0.5000 0.0925  4 Mg 3.34, 4 Er 3.46, 4 Tm 3.50
7 Er 0.0000 0.0000 0.1927  8 Tm 3.46-3.50, 4 Er 3.50
8 Er 0.0000 0.0000 0.8073  8 Tm 3.46-3.50, 4 Er 3.50
9 Er 0.0000 0.0000 0.3976  4 Er 3.50, 8 Tm 3.50
10 Er 0.0000 0.0000 0.6024  4 Er 3.50, 8 Tm 3.50

---

ErTm2Mg2 | GGA-PBE | optimized geometry

Values from the calculation:
V = 273 Å³ per cell
Final energy = -3.395 eV/atom
Energy above the most stable polymorph in this dataset = 0 meV/atom
DFT formation energy = -0.06 eV/atom

a = 3.6705 Å, b = 5.3786 Å, c = 13.9362 Å
α = 90.00°, β = 97.55°, γ = 90.00°
Last column: nearest neighbours and their distance in Å.
Element x y z (fractional)
1 Tm 0.7627 0.2500 0.5249  2 Mg 3.26, 4 Tm 3.33, 4 Er 3.54-3.57
2 Tm 0.0437 0.7500 0.0875  8 Mg 3.23-3.27, 2 Tm 3.62
3 Tm 0.9563 0.2500 0.9125  8 Mg 3.23-3.27, 2 Tm 3.62
4 Tm 0.2373 0.7500 0.4751  2 Mg 3.26, 4 Tm 3.33, 4 Er 3.54-3.57
5 Mg 0.3605 0.2500 0.7199  4 Tm 3.23-3.26, 4 Er 3.27-3.28, 2 Mg 3.59
6 Mg 0.5540 0.2500 0.1083  6 Tm 3.27, 2 Er 3.29, 2 Mg 3.59
7 Mg 0.6395 0.7500 0.2801  4 Tm 3.23-3.26, 4 Er 3.27-3.28, 2 Mg 3.59
8 Mg 0.4460 0.7500 0.8917  6 Tm 3.27, 2 Er 3.29, 2 Mg 3.59
9 Er 0.8475 0.7500 0.6944  6 Mg 3.27-3.29, 4 Tm 3.54-3.57
10 Er 0.1525 0.2500 0.3056  6 Mg 3.27-3.29, 4 Tm 3.54-3.57

---

Er3Tm2Mg2 | GGA-PBE | optimized geometry

Values from the calculation:
V = 202 Å³ per cell
Final energy = -3.653 eV/atom
DFT formation energy = 0.04 eV/atom

a = 5.1996 Å, b = 3.4236 Å, c = 11.6201 Å
α = 90.00°, β = 77.07°, γ = 90.00°
Last column: nearest neighbours and their distance in Å.
Element x y z (fractional)
1 Er 0.1507 0.0000 0.6985  6 Tm 3.41-3.55, 3 Er 3.41-3.42, 4 Mg 3.62
2 Er 0.0000 0.0000 0.0000  4 Er 3.41-3.42, 8 Mg 3.48
3 Er 0.8493 0.0000 0.3015  6 Tm 3.41-3.55, 3 Er 3.41-3.42, 4 Mg 3.62
4 Tm 0.7117 0.5000 0.5765  4 Tm 3.12-3.42, 1 Mg 3.23, 4 Er 3.41
5 Tm 0.2883 0.5000 0.4235  4 Tm 3.12-3.42, 1 Mg 3.23, 4 Er 3.41
6 Mg 0.4310 0.5000 0.1380  3 Mg 3.13-3.42, 1 Tm 3.23, 4 Er 3.48
7 Mg 0.5690 0.5000 0.8620  3 Mg 3.13-3.42, 1 Tm 3.23, 4 Er 3.48

---

Er4TmMg2 | GGA-PBE | optimized geometry

Values from the calculation:
V = 204 Å³ per cell
Final energy = -3.667 eV/atom
Energy above the most stable polymorph in this dataset = 0 meV/atom
DFT formation energy = 0.03 eV/atom

a = 3.4277 Å, b = 3.4711 Å, c = 17.2741 Å
α = 95.77°, β = 90.00°, γ = 90.00°
Last column: nearest neighbours and their distance in Å.
Element x y z (fractional)
1 Er 0.0000 0.3547 0.7093  4 Mg 3.36, 8 Er 3.43-3.48
2 Er 0.5000 0.0732 0.1464  8 Er 3.43-3.48, 4 Tm 3.50
3 Er 0.5000 0.9268 0.8536  8 Er 3.43-3.48, 4 Tm 3.50
4 Er 0.0000 0.6453 0.2907  4 Mg 3.36, 8 Er 3.43-3.48
5 Mg 0.5000 0.2127 0.4254  4 Mg 3.10-3.43, 4 Er 3.36
6 Mg 0.5000 0.7873 0.5746  4 Mg 3.10-3.43, 4 Er 3.36
7 Tm 0.0000 0.5000 0.0000  4 Tm 3.43-3.47, 8 Er 3.50